Density functional theory data (PBE-GGA) for AlCr4AgS8 after structural relaxation.

Cell and atoms, written as extended XYZ:
```
14
Lattice="-4.655 2.211 -4.963 1.206 -1.399 -6.912 -4.079 -4.758 -3.451" Properties=species:S:1:pos:R:3 pbc="T T T"
Al 0.000 0.000 0.000
Cr -2.695 -0.138 -7.848
Cr -5.266 -1.772 -6.164
Cr -2.415 -3.529 -7.112
Cr -4.679 -2.453 -9.527
Ag -1.882 -0.987 -3.831
S -4.614 -1.189 -11.673
S -7.095 -2.766 -10.048
S -4.343 -4.461 -10.963
S -6.529 -3.423 -13.294
S -4.732 -3.635 -7.495
S -2.403 -2.155 -9.020
S -4.985 -0.564 -8.161
S -2.934 -1.538 -5.975
```

## Properties
Its symmetry is F-43m. The crystal system is cubic. For the formation energy without anion corrections, the calculation gives -0.7211 eV per atom. As for the theoretical density: 3.84 g/cm³. Its total magnetization is 12.0 Bohr magnetons per cell.



Density functional theory data (PBE-GGA) for Cs3B6H12S4Br after structural relaxation.

Cell and atoms, written as extended XYZ:
```
52
Lattice="8.786 0.000 0.000 0.000 10.651 0.000 0.000 -5.326 9.224" Properties=species:S:1:pos:R:3 pbc="T T T"
Cs 6.593 0.000 2.916
Cs 6.593 -2.801 7.766
Cs 6.593 2.801 7.766
Cs 2.200 5.326 6.309
Cs 2.200 8.126 1.458
Cs 2.200 2.525 1.458
B 7.699 6.870 2.183
B 7.699 3.782 2.183
B 7.699 5.326 4.858
B 3.307 -1.544 7.041
B 3.307 1.544 7.041
B 3.307 0.000 4.367
B 5.165 3.777 3.969
B 5.165 6.874 3.969
B 5.165 5.326 1.286
B 0.773 1.549 5.255
B 0.773 -1.549 5.255
B 0.773 0.000 7.938
H 8.083 7.849 2.791
H 8.083 3.818 1.032
H 8.083 4.310 5.402
H 8.083 6.833 1.032
H 8.083 6.341 5.402
H 8.083 2.802 2.791
H 3.690 -2.523 6.434
H 3.690 1.508 8.193
H 3.690 1.015 3.822
H 3.690 -1.508 8.193
H 3.690 -1.015 3.822
H 3.690 2.523 6.434
H 5.602 2.795 4.536
H 5.602 7.856 4.536
H 5.602 5.326 0.153
H 1.209 2.530 4.689
H 1.209 -2.530 4.689
H 1.209 0.000 9.071
H 3.950 3.817 3.946
H 3.950 6.834 3.946
H 3.950 5.326 1.333
H 8.343 1.508 5.279
H 8.343 -1.508 5.279
H 8.343 0.000 7.891
S 5.779 6.933 2.147
S 5.779 3.718 2.147
S 5.779 5.326 4.931
S 1.387 -1.608 7.078
S 1.387 1.608 7.078
S 1.387 0.000 4.293
S 8.433 5.326 3.075
S 4.040 0.000 6.150
Br 8.776 0.000 0.000
Br 4.383 0.000 0.000
```

## Properties
Its symmetry is P6_3mc. The crystal system is hexagonal. As for the theoretical density: 2.63 g/cm³. The value obtained for the total DFT energy (no corrections) is -230.2 eV for the cell shown. Its total magnetization is 0.0 Bohr magnetons per cell.



Density functional theory data (PBE-GGA) for CaTmNiAu after structural relaxation.

Cell and atoms, written as extended XYZ:
```
4
Lattice="-0.219 -1.456 4.702 -4.085 -2.145 1.726 0.014 -4.804 1.095" Properties=species:S:1:pos:R:3 pbc="T T T"
Ni -1.073 -2.101 1.881
Ca 0.000 0.000 0.000
Tm -2.145 -4.202 3.761
Au -3.218 -6.303 5.642
```

## Properties
Its symmetry is F-43m. The crystal system is cubic. Its formation enthalpy at 0 K is -485.5 meV/atom. As for the theoretical density: 9.12 g/cm³. Its total magnetization is 0.0 Bohr magnetons per cell.



Density functional theory data (PBE-GGA) for Ca2BiO after structural relaxation.

Cell and atoms, written as extended XYZ:
```
16
Lattice="3.704 0.000 0.000 0.000 7.881 0.000 0.000 0.000 14.474" Properties=species:S:1:pos:R:3 pbc="T T T"
Ca 2.778 5.246 0.501
Ca 0.926 2.635 13.973
Ca 2.778 1.306 6.736
Ca 0.926 6.575 7.737
Ca 2.778 0.860 10.289
Ca 0.926 3.081 3.052
Ca 2.778 4.800 11.422
Ca 0.926 7.022 4.185
Bi 2.778 4.490 5.442
Bi 2.778 0.549 1.795
Bi 0.926 3.391 9.032
Bi 0.926 7.332 12.679
O 0.926 0.263 6.001
O 2.778 7.618 8.473
O 0.926 4.203 1.236
O 2.778 3.678 13.238
```

## Properties
Its symmetry is Pnma. The crystal system is orthorhombic. For the formation energy without anion corrections, the calculation gives -1.7608 eV per atom. The energy above the most stable polymorph in this dataset comes out at 0 kJ/mol of formula units. As for the theoretical density: 4.80 g/cm³. Its total magnetization is 0.0 Bohr magnetons per cell.



Density functional theory data (PBE-GGA) for Sm5Te2Au2 after structural relaxation.

Cell and atoms, written as extended XYZ:
```
18
Lattice="-7.032 3.072 2.822 -1.798 -7.130 3.280 0.106 3.694 8.087" Properties=species:S:1:pos:R:3 pbc="T T T"
Sm 0.000 0.000 0.000
Sm -4.415 -2.029 3.051
Sm -3.471 3.056 7.872
Sm -6.980 -0.818 11.028
Sm -3.134 -1.048 9.016
Sm -7.316 3.287 9.883
Sm -5.253 -3.420 6.317
Sm -1.745 0.454 3.161
Sm -5.590 0.684 5.173
Sm -1.408 -3.651 4.306
Te -1.367 2.816 5.372
Te -5.782 0.788 8.423
Te -5.559 3.950 5.537
Te -2.942 -1.151 5.766
Au -1.614 -2.212 1.590
Au -7.216 -1.846 4.512
Au -4.126 -5.071 3.878
Au -4.704 1.014 2.224
```

## Properties
Its symmetry is Cmce. The crystal system is orthorhombic. For the formation energy without anion corrections, the calculation gives -0.9827 eV per atom. As for the theoretical density: 8.95 g/cm³. Its total magnetization is 0.0 Bohr magnetons per cell.



Density functional theory data (PBE-GGA) for La2SmI2N2 after structural relaxation.

Cell and atoms, written as extended XYZ:
```
7
Lattice="-3.623 -1.397 2.516 1.591 -4.343 -0.120 5.984 4.468 6.844" Properties=species:S:1:pos:R:3 pbc="T T T"
La 4.182 1.345 6.769
La -0.230 -2.617 2.470
Sm 0.000 0.000 0.000
I 1.672 0.538 2.707
I 2.279 -1.810 6.532
N 0.796 -2.172 -0.060
N -1.812 -0.699 1.258
```

## Properties
Its symmetry is I4/mmm. The crystal system is tetragonal. For the formation energy without anion corrections, the calculation gives -1.2310 eV per atom. As for the theoretical density: 5.74 g/cm³. Its total magnetization is 1.0 Bohr magnetons per cell.



Density functional theory data (PBE-GGA) for CeYInOs after structural relaxation.

Cell and atoms, written as extended XYZ:
```
4
Lattice="5.107 0.000 0.000 2.554 4.423 0.000 2.554 1.474 4.170" Properties=species:S:1:pos:R:3 pbc="T T T"
Y 7.661 4.423 3.128
Os 5.107 2.949 2.085
Ce 2.554 1.474 1.043
In 0.000 0.000 0.000
```

## Properties
Its symmetry is F-43m. The crystal system is cubic. The energy above the most stable polymorph in this dataset comes out at 75 kJ/mol of formula units. Its formation enthalpy at 0 K is -146.6 meV/atom. As for the theoretical density: 9.41 g/cm³. Its total magnetization is 0.4 Bohr magnetons per cell.



Density functional theory data (PBE-GGA) for LaTc2Pd after structural relaxation.

Cell and atoms, written as extended XYZ:
```
8
Lattice="4.062 0.000 0.000 0.000 4.062 0.000 2.031 2.031 10.167" Properties=species:S:1:pos:R:3 pbc="T T T"
Tc 2.658 1.015 2.542
Tc 1.404 3.046 2.542
Tc 3.046 3.435 7.625
Tc 5.077 4.688 7.625
Pd 2.031 2.031 0.000
Pd 2.031 4.062 5.083
La 0.000 0.000 0.000
La 4.062 2.031 5.083
```

## Properties
Its symmetry is I-42d. The crystal system is tetragonal. The energy above the most stable polymorph in this dataset comes out at 0 kJ/mol of formula units. Its formation enthalpy at 0 K is 314.4 meV/atom. As for the theoretical density: 8.74 g/cm³. Its total magnetization is 0.0 Bohr magnetons per cell.



What is the formula in the seventh record?
CeYInOs



total magnetization of number 7 (CeYInOs)?
0.4 Bohr magnetons per cell



What is the total magnetization in the fifth record?
0.0 Bohr magnetons per cell